Computed, not measured: a geometry-optimized LaSc2F2 structure at the PBE level of DFT.

Summary:
Total magnetization ... 0.0 μB/f.u.
Crystal system ... tetragonal
N(E_F) ... 1.57 states/eV/atom
Excess energy over the best structure of this formula in the dataset ... 0.00 kcal/mol of atoms

Lattice parameters (Å, degrees): 3.505 3.505 16.478 90.00 90.00 90.00
Space group I4/mmm (No. 139)
One atom of each set of equivalent atoms:
La1 0.000 0.000 0.000 [2 per cell]
Sc1 0.000 0.000 0.337 [4 per cell]
F1 0.000 0.500 0.250 [4 per cell]

Computed, not measured: a geometry-optimized Te5Au3 structure at the PBE level of DFT.

Summary:
Total magnetization ... 0.0 μB/f.u.
Crystal system ... orthorhombic
N(E_F) ... 0.88 states/eV/atom
Excess energy over the best structure of this formula in the dataset ... 0.00 kcal/mol of atoms

Lattice parameters (Å, degrees): 8.141 13.307 4.063 90.00 90.00 90.00
Space group Cmmm (No. 65)
One atom of each set of equivalent atoms:
Te1 0.000 0.000 0.000 [2 per cell]
Te2 0.225 0.500 0.500 [4 per cell]
Te3 0.250 0.250 0.000 [4 per cell]
Au1 0.000 0.294 0.500 [4 per cell]
Au2 0.000 0.500 0.000 [2 per cell]

Computed, not measured: a geometry-optimized Sr2Zn3Ag17 structure at the PBE level of DFT.

Summary:
ΔE_f ... 53 meV/atom
Total magnetization ... 0.0 μB/f.u.
Crystal system ... trigonal
N(E_F) ... 0.28 states/eV/atom

Lattice parameters (Å, degrees): 10.4290 10.4290 14.8076 90.00 90.00 120.00
Space group R-3m (No. 166, hexagonal axes)
One atom of each set of equivalent atoms:
Sr1 0.0000 0.0000 0.1549 [6 per cell]
Zn1 0.0000 0.5000 0.5000 [9 per cell]
Ag1 0.0000 0.0000 0.4001 [6 per cell]
Ag2 0.0000 0.2610 0.5000 [18 per cell]
Ag3 0.0000 0.5000 0.0000 [9 per cell]
Ag4 0.0060 0.5030 0.6722 [18 per cell]

> Which value of N(E_F) does entry 2 give?

0.88 states/eV/atom